(1)
DFT (PBE-GGA) results for an optimized crystal structure of Mg3Cd2Au.

Geometry as CIF:
```
data_Mg3Cd2Au
_cell_length_a 4.709
_cell_length_b 14.284
_cell_length_c 3.598
_cell_angle_alpha 90.00
_cell_angle_beta 90.00
_cell_angle_gamma 90.00
_symmetry_space_group_name_H-M 'C m m m'
_symmetry_Int_Tables_number 65
_symmetry_space_group_name_Hall '-C 2 2'
loop_
_atom_site_label
_atom_site_type_symbol
_atom_site_fract_x
_atom_site_fract_y
_atom_site_fract_z
_atom_site_occupancy
Mg1 Mg 0.000 0.000 0.000 1
Mg2 Mg 0.000 0.347 0.000 1
Cd1 Cd 0.000 0.174 0.500 1
Au1 Au 0.000 0.500 0.500 1
```

**Theoretical density**: 6.79 g/cm³
**M_tot**: 0.00 μB/f.u.
**ΔH_f (0 K)**: -0.28 eV/atom
**Energy**: -23.1 eV for the cell shown



(2)
DFT (PBE-GGA) results for an optimized crystal structure of MgCd3Au3.

Geometry as CIF:
```
data_MgCd3Au3
_cell_length_a 6.823
_cell_length_b 13.107
_cell_length_c 7.150
_cell_angle_alpha 90.00
_cell_angle_beta 101.71
_cell_angle_gamma 90.00
_symmetry_space_group_name_H-M 'C 1 2/m 1'
_symmetry_Int_Tables_number 12
loop_
_symmetry_equiv_pos_as_xyz
'x,y,z'
'-x,-y,-z'
'-x,y,-z'
'x,-y,z'
'x+1/2,y+1/2,z'
'-x+1/2,-y+1/2,-z'
'-x+1/2,y+1/2,-z'
'x+1/2,-y+1/2,z'
loop_
_atom_site_label
_atom_site_type_symbol
_atom_site_fract_x
_atom_site_fract_y
_atom_site_fract_z
_atom_site_occupancy
Mg1 Mg 0.240 0.000 0.483 1
Cd1 Cd 0.000 0.251 0.500 1
Cd2 Cd 0.000 0.314 0.000 1
Cd3 Cd 0.136 0.000 0.865 1
Au1 Au 0.025 0.500 0.793 1
Au2 Au 0.182 0.153 0.223 1
```

**Theoretical density**: 10.10 g/cm³
**M_tot**: 0.00 μB/f.u.
**ΔH_f (0 K)**: -0.17 eV/atom
**ΔE to the lowest computed polymorph**: 0.0505 eV/atom
**Energy**: -61.5 eV for the cell shown



(3)
DFT (PBE-GGA) results for an optimized crystal structure of Mg4Cd3Au.

Geometry as CIF:
```
data_Mg4Cd3Au
_cell_length_a 3.304
_cell_length_b 3.304
_cell_length_c 15.212
_cell_angle_alpha 90.00
_cell_angle_beta 90.00
_cell_angle_gamma 90.00
_symmetry_space_group_name_H-M 'P 4/m m m'
_symmetry_Int_Tables_number 123
_symmetry_space_group_name_Hall '-P 4 2'
loop_
_atom_site_label
_atom_site_type_symbol
_atom_site_fract_x
_atom_site_fract_y
_atom_site_fract_z
_atom_site_occupancy
Mg1 Mg 0.000 0.000 0.106 1
Mg2 Mg 0.000 0.000 0.369 1
Cd1 Cd 0.500 0.500 0.238 1
Cd2 Cd 0.500 0.500 0.500 1
Au1 Au 0.500 0.500 0.000 1
```

**Theoretical density**: 6.32 g/cm³
**M_tot**: 0.00 μB/f.u.
**ΔH_f (0 K)**: -0.24 eV/atom
**Energy**: -14.3 eV for the cell shown



(4)
DFT (PBE-GGA) results for an optimized crystal structure of MgCd4Au7.

Geometry as CIF:
```
data_MgCd4Au7
_cell_length_a 10.809
_cell_length_b 5.125
_cell_length_c 10.380
_cell_angle_alpha 90.00
_cell_angle_beta 119.69
_cell_angle_gamma 90.00
_symmetry_space_group_name_H-M 'C 1 2/m 1'
_symmetry_Int_Tables_number 12
loop_
_symmetry_equiv_pos_as_xyz
'x,y,z'
'-x,-y,-z'
'-x,y,-z'
'x,-y,z'
'x+1/2,y+1/2,z'
'-x+1/2,-y+1/2,-z'
'-x+1/2,y+1/2,-z'
'x+1/2,-y+1/2,z'
loop_
_atom_site_label
_atom_site_type_symbol
_atom_site_fract_x
_atom_site_fract_y
_atom_site_fract_z
_atom_site_occupancy
Mg1 Mg 0.000 0.000 0.000 1
Cd1 Cd 0.095 0.500 0.774 1
Cd2 Cd 0.244 0.000 0.666 1
Au1 Au 0.000 0.500 0.000 1
Au2 Au 0.070 0.000 0.314 1
Au3 Au 0.137 0.500 0.523 1
Au4 Au 0.212 0.000 0.916 1
```

**Theoretical density**: 12.32 g/cm³
**M_tot**: 0.00 μB/f.u.
**ΔH_f (0 K)**: -0.15 eV/atom
**ΔE to the lowest computed polymorph**: 0.0741 eV/atom
**Energy**: -60.1 eV for the cell shown



(5)
DFT (PBE-GGA) results for an optimized crystal structure of MgCd5Au4.

Geometry as CIF:
```
data_MgCd5Au4
_cell_length_a 14.082
_cell_length_b 4.576
_cell_length_c 6.745
_cell_angle_alpha 90.00
_cell_angle_beta 90.73
_cell_angle_gamma 90.00
_symmetry_space_group_name_H-M 'C 1 2/m 1'
_symmetry_Int_Tables_number 12
loop_
_symmetry_equiv_pos_as_xyz
'x,y,z'
'-x,-y,-z'
'-x,y,-z'
'x,-y,z'
'x+1/2,y+1/2,z'
'-x+1/2,-y+1/2,-z'
'-x+1/2,y+1/2,-z'
'x+1/2,-y+1/2,z'
loop_
_atom_site_label
_atom_site_type_symbol
_atom_site_fract_x
_atom_site_fract_y
_atom_site_fract_z
_atom_site_occupancy
Mg1 Mg 0.000 0.000 0.000 1
Cd1 Cd 0.000 0.000 0.500 1
Cd2 Cd 0.169 0.500 0.520 1
Cd3 Cd 0.174 0.500 0.982 1
Au1 Au 0.005 0.500 0.236 1
Au2 Au 0.161 0.000 0.248 1
```

**Theoretical density**: 10.50 g/cm³
**M_tot**: 0.00 μB/f.u.
**ΔH_f (0 K)**: -0.24 eV/atom
**Energy**: -43.4 eV for the cell shown



(6)
DFT (PBE-GGA) results for an optimized crystal structure of Mg4CdAu5.

Geometry as CIF:
```
data_Mg4CdAu5
_cell_length_a 3.353
_cell_length_b 3.353
_cell_length_c 16.319
_cell_angle_alpha 90.00
_cell_angle_beta 90.00
_cell_angle_gamma 90.00
_symmetry_space_group_name_H-M 'P 4/m m m'
_symmetry_Int_Tables_number 123
_symmetry_space_group_name_Hall '-P 4 2'
loop_
_atom_site_label
_atom_site_type_symbol
_atom_site_fract_x
_atom_site_fract_y
_atom_site_fract_z
_atom_site_occupancy
Mg1 Mg 0.000 0.000 0.099 1
Mg2 Mg 0.000 0.000 0.296 1
Cd1 Cd 0.000 0.000 0.500 1
Au1 Au 0.500 0.500 0.000 1
Au2 Au 0.500 0.500 0.197 1
Au3 Au 0.500 0.500 0.390 1
```

**Theoretical density**: 10.81 g/cm³
**M_tot**: 0.00 μB/f.u.
**ΔH_f (0 K)**: -0.53 eV/atom
**Energy**: -29.0 eV for the cell shown



(7)
DFT (PBE-GGA) results for an optimized crystal structure of MgCdAu5.

Geometry as CIF:
```
data_MgCdAu5
_cell_length_a 5.023
_cell_length_b 5.023
_cell_length_c 5.630
_cell_angle_alpha 90.00
_cell_angle_beta 90.00
_cell_angle_gamma 90.00
_symmetry_space_group_name_H-M 'P 4/m m m'
_symmetry_Int_Tables_number 123
_symmetry_space_group_name_Hall '-P 4 2'
loop_
_atom_site_label
_atom_site_type_symbol
_atom_site_fract_x
_atom_site_fract_y
_atom_site_fract_z
_atom_site_occupancy
Mg1 Mg 0.000 0.000 0.000 1
Cd1 Cd 0.500 0.500 0.500 1
Au1 Au 0.000 0.000 0.500 1
Au2 Au 0.000 0.500 0.242 1
```

**Theoretical density**: 13.11 g/cm³
**M_tot**: 0.00 μB/f.u.
**ΔH_f (0 K)**: -0.20 eV/atom
**Energy**: -20.3 eV for the cell shown



(8)
DFT (PBE-GGA) results for an optimized crystal structure of Mg3CdAu6.

Geometry as CIF:
```
data_Mg3CdAu6
_cell_length_a 7.898
_cell_length_b 4.782
_cell_length_c 10.315
_cell_angle_alpha 90.00
_cell_angle_beta 110.24
_cell_angle_gamma 90.00
_symmetry_space_group_name_H-M 'P 1 21/m 1'
_symmetry_Int_Tables_number 11
loop_
_symmetry_equiv_pos_as_xyz
'x,y,z'
'-x,-y,-z'
'-x,y+1/2,-z'
'x,-y+1/2,z'
loop_
_atom_site_label
_atom_site_type_symbol
_atom_site_fract_x
_atom_site_fract_y
_atom_site_fract_z
_atom_site_occupancy
Mg1 Mg 0.049 0.250 0.380 1
Mg2 Mg 0.142 0.750 0.214 1
Mg3 Mg 0.272 0.250 0.983 1
Cd1 Cd 0.454 0.250 0.583 1
Au1 Au 0.031 0.750 0.922 1
Au2 Au 0.146 0.250 0.684 1
Au3 Au 0.231 0.750 0.512 1
Au4 Au 0.334 0.750 0.823 1
Au5 Au 0.351 0.250 0.277 1
Au6 Au 0.436 0.750 0.121 1
```

**Theoretical density**: 12.42 g/cm³
**M_tot**: 0.00 μB/f.u.
**ΔH_f (0 K)**: -0.44 eV/atom
**Energy**: -59.5 eV for the cell shown



(9)
DFT (PBE-GGA) results for an optimized crystal structure of Mg12Cd6Au.

Geometry as CIF:
```
data_Mg12Cd6Au
_cell_length_a 12.5853
_cell_length_b 12.5853
_cell_length_c 9.3944
_cell_angle_alpha 90.00
_cell_angle_beta 90.00
_cell_angle_gamma 120.00
_symmetry_space_group_name_H-M 'R -3'
_symmetry_Int_Tables_number 148
_symmetry_space_group_name_Hall '-R 3'
loop_
_atom_site_label
_atom_site_type_symbol
_atom_site_fract_x
_atom_site_fract_y
_atom_site_fract_z
_atom_site_occupancy
Mg1 Mg 0.0482 0.1767 0.2510 1
Mg2 Mg 0.0642 0.2523 0.9352 1
Cd1 Cd 0.0534 0.2394 0.5622 1
Au1 Au 0.0000 0.0000 0.0000 1
```

**Theoretical density**: 4.50 g/cm³
**M_tot**: 0.00 μB/f.u.
**ΔH_f (0 K)**: -0.08 eV/atom
**Energy**: -88.3 eV for the cell shown



(10)
DFT (PBE-GGA) results for an optimized crystal structure of Mg4CdAu3.

Geometry as CIF:
```
data_Mg4CdAu3
_cell_length_a 4.7199
_cell_length_b 4.7199
_cell_length_c 23.3147
_cell_angle_alpha 90.00
_cell_angle_beta 90.00
_cell_angle_gamma 120.00
_symmetry_space_group_name_H-M 'R -3 m'
_symmetry_Int_Tables_number 166
_symmetry_space_group_name_Hall '-R 3 2"'
loop_
_atom_site_label
_atom_site_type_symbol
_atom_site_fract_x
_atom_site_fract_y
_atom_site_fract_z
_atom_site_occupancy
Mg1 Mg 0.0000 0.0000 0.1193 1
Mg2 Mg 0.0000 0.0000 0.3699 1
Cd1 Cd 0.0000 0.0000 0.5000 1
Au1 Au 0.0000 0.0000 0.0000 1
Au2 Au 0.0000 0.0000 0.2443 1
```

**Theoretical density**: 8.87 g/cm³
**M_tot**: 0.00 μB/f.u.
**ΔH_f (0 K)**: -0.49 eV/atom
**Energy**: -63.2 eV for the cell shown



(11)
DFT (PBE-GGA) results for an optimized crystal structure of Mg2Cd3Au4.

Geometry as CIF:
```
data_Mg2Cd3Au4
_cell_length_a 4.320
_cell_length_b 5.011
_cell_length_c 8.997
_cell_angle_alpha 77.60
_cell_angle_beta 89.54
_cell_angle_gamma 65.04
_symmetry_space_group_name_H-M 'P -1'
_symmetry_Int_Tables_number 2
loop_
_symmetry_equiv_pos_as_xyz
'x,y,z'
'-x,-y,-z'
loop_
_atom_site_label
_atom_site_type_symbol
_atom_site_fract_x
_atom_site_fract_y
_atom_site_fract_z
_atom_site_occupancy
Mg1 Mg 0.175 0.151 0.210 1
Cd1 Cd 0.163 0.175 0.561 1
Cd2 Cd 0.500 0.500 0.000 1
Au1 Au 0.160 0.178 0.886 1
Au2 Au 0.485 0.530 0.670 1
```

**Theoretical density**: 11.35 g/cm³
**M_tot**: 0.00 μB/f.u.
**ΔH_f (0 K)**: -0.33 eV/atom
**Energy**: -22.0 eV for the cell shown



> Which value of energy does entry 9 give?

-88.3 eV for the cell shown



> ΔH_f (0 K) of number 3 (Mg4Cd3Au)?

-0.24 eV/atom



> energy of number 3 (Mg4Cd3Au)?

-14.3 eV for the cell shown